Entry 1:
Here is YZn2BiO6 after structural relaxation from Alexandria. Energies are from PBE.

Cell lengths 5.510, 5.510, 5.879 Å; angles 62.05, 62.05, 60.00 degrees
Positions (direct):
O 0.227 0.915 0.254
O 0.717 0.127 0.766
O 0.391 0.717 0.766
O 0.127 0.391 0.765
O 0.604 0.227 0.254
O 0.915 0.604 0.254
Zn 0.026 0.026 0.921
Zn 0.531 0.531 0.407
Y 0.808 0.808 0.577
Bi 0.316 0.316 0.052

Summary:
SG = R3, No. 146
Formation energy from raw total energies = -1.72 eV per atom


Entry 2:
Here is BaSi2Ru after structural relaxation from Alexandria. Energies are from PBE.

Cell lengths 5.096, 5.096, 3.092 Å; angles 90.00, 90.00, 90.00 degrees
Positions (direct):
Si 0.000 0.000 0.000
Si 0.500 0.500 0.000
Ba 0.500 0.000 0.500
Ru 0.000 0.500 0.500

Summary:
SG = P4/mmm, No. 123
Formation energy from raw total energies = 0.82 eV per atom
N(E_F) = 4.10 states/eV/f.u.


Entry 3:
Here is CeTmCu4 after structural relaxation from Alexandria. Energies are from PBE.

Cell lengths 4.304, 5.452, 5.452 Å; angles 76.86, 66.75, 66.75 degrees
Site moments in Bohr magnetons follow the coordinates.
Positions (direct):
Cu 0.164 0.636 0.036  0.00
Cu 0.834 0.868 0.464  0.00
Cu 0.164 0.036 0.636  0.00
Cu 0.834 0.464 0.868  0.00
Ce 0.542 0.458 0.458  0.14
Tm 0.462 0.038 0.038  0.00

Summary:
SG = Imm2, No. 44
Formation enthalpy at 0 K = -1.3 eV/f.u.
Relative energy among the computed polymorphs = 0.00 kcal/mol of atoms
N(E_F) = 6.63 states/eV/f.u.


It is found that the volume values, taken in the order of the records, are 13.0, 20.1, 17.9 Å³ per atom.